[1]
# Tm3Al2Ni6 GGA-PBEsol optimized geometry
# Volume   661.73 Å³/cell
# Total energy   -6.05 eV per atom
data_Tm3Al2Ni6
_chemical_formula_sum 'Tm12 Al8 Ni24'
_cell_length_a 8.714
_cell_length_b 8.714
_cell_length_c 8.714
_cell_angle_alpha 90.00
_cell_angle_beta 90.00
_cell_angle_gamma 90.00
_symmetry_space_group_name_H-M 'I m -3 m'
_symmetry_Int_Tables_number 229
_symmetry_space_group_name_Hall '-I 4 2 3'
loop_
_atom_site_label
_atom_site_type_symbol
_atom_site_fract_x
_atom_site_fract_y
_atom_site_fract_z
Tm1 Tm 0.000 0.000 0.292
Al1 Al 0.250 0.250 0.250
Ni1 Ni 0.000 0.337 0.337


[2]
# TmAl2Ni GGA-PBEsol optimized geometry
# Volume   268.45 Å³/cell
# Total energy   -5.47 eV per atom
data_TmAl2Ni
_chemical_formula_sum 'Tm4 Al8 Ni4'
_cell_length_a 4.012
_cell_length_b 9.830
_cell_length_c 6.807
_cell_angle_alpha 90.00
_cell_angle_beta 90.00
_cell_angle_gamma 90.00
_symmetry_space_group_name_H-M 'C m c m'
_symmetry_Int_Tables_number 63
_symmetry_space_group_name_Hall '-C 2c 2'
loop_
_atom_site_label
_atom_site_type_symbol
_atom_site_fract_x
_atom_site_fract_y
_atom_site_fract_z
Tm1 Tm 0.000 0.063 0.250
Al1 Al 0.000 0.347 0.054
Ni1 Ni 0.000 0.215 0.750


[3]
# TmAl4Ni GGA-PBEsol optimized geometry
# Volume   397.68 Å³/cell
# Total energy   -5.12 eV per atom
data_TmAl4Ni
_chemical_formula_sum 'Tm4 Al16 Ni4'
_cell_length_a 4.011
_cell_length_b 15.136
_cell_length_c 6.551
_cell_angle_alpha 90.00
_cell_angle_beta 90.00
_cell_angle_gamma 90.00
_symmetry_space_group_name_H-M 'C m c m'
_symmetry_Int_Tables_number 63
_symmetry_space_group_name_Hall '-C 2c 2'
loop_
_atom_site_label
_atom_site_type_symbol
_atom_site_fract_x
_atom_site_fract_y
_atom_site_fract_z
Tm1 Tm 0.000 0.120 0.250
Al1 Al 0.000 0.075 0.750
Al2 Al 0.000 0.312 0.052
Al3 Al 0.000 0.500 0.000
Ni1 Ni 0.000 0.227 0.750


[4]
# Al4VNi15 GGA-PBEsol optimized geometry
# Volume   216.45 Å³/cell
# Total energy   -6.34 eV per atom
data_Al4VNi15
_chemical_formula_sum 'Al4 V1 Ni15'
_cell_length_a 3.513
_cell_length_b 3.513
_cell_length_c 17.536
_cell_angle_alpha 90.00
_cell_angle_beta 90.00
_cell_angle_gamma 90.00
_symmetry_space_group_name_H-M 'P 4/m m m'
_symmetry_Int_Tables_number 123
_symmetry_space_group_name_Hall '-P 4 2'
loop_
_atom_site_label
_atom_site_type_symbol
_atom_site_fract_x
_atom_site_fract_y
_atom_site_fract_z
Al1 Al 0.000 0.000 0.100
Al2 Al 0.000 0.000 0.299
V1 V 0.000 0.000 0.500
Ni1 Ni 0.000 0.500 0.000
Ni2 Ni 0.000 0.500 0.200
Ni3 Ni 0.000 0.500 0.403
Ni4 Ni 0.500 0.500 0.101
Ni5 Ni 0.500 0.500 0.301
Ni6 Ni 0.500 0.500 0.500


[5]
# AlNiW2 GGA-PBEsol optimized geometry
# Volume   55.82 Å³/cell
# Total energy   -9.43 eV per atom
data_AlNiW2
_chemical_formula_sum 'Al1 Ni1 W2'
_cell_length_a 2.717
_cell_length_b 2.717
_cell_length_c 7.560
_cell_angle_alpha 90.00
_cell_angle_beta 90.00
_cell_angle_gamma 90.00
_symmetry_space_group_name_H-M 'P 4/m m m'
_symmetry_Int_Tables_number 123
_symmetry_space_group_name_Hall '-P 4 2'
loop_
_atom_site_label
_atom_site_type_symbol
_atom_site_fract_x
_atom_site_fract_y
_atom_site_fract_z
Al1 Al 0.000 0.000 0.000
Ni1 Ni 0.000 0.000 0.500
W1 W 0.500 0.500 0.264


[6]
# Al2NiW GGA-PBEsol optimized geometry
# Volume   170.06 Å³/cell
# Excess energy over the best structure of this formula in the dataset   47 meV per atom
data_Al2NiW
_chemical_formula_sum 'Al6 Ni3 W3'
_cell_length_a 2.7727
_cell_length_b 2.7727
_cell_length_c 25.5436
_cell_angle_alpha 90.00
_cell_angle_beta 90.00
_cell_angle_gamma 120.00
_symmetry_space_group_name_H-M 'R 3 m'
_symmetry_Int_Tables_number 160
_symmetry_space_group_name_Hall 'R 3 -2"'
loop_
_atom_site_label
_atom_site_type_symbol
_atom_site_fract_x
_atom_site_fract_y
_atom_site_fract_z
Al1 Al 0.0000 0.0000 0.0000
Al2 Al 0.0000 0.0000 0.2412
Ni1 Ni 0.0000 0.0000 0.5010
W1 W 0.0000 0.0000 0.7539


[7]
# Al2NiW GGA-PBEsol optimized geometry
# Volume   55.09 Å³/cell
# Excess energy over the best structure of this formula in the dataset   0 meV per atom
data_Al2NiW
_chemical_formula_sum 'Al2 Ni1 W1'
_cell_length_a 2.693
_cell_length_b 4.009
_cell_length_c 5.158
_cell_angle_alpha 90.00
_cell_angle_beta 98.48
_cell_angle_gamma 90.00
_symmetry_space_group_name_H-M 'P 1 2/m 1'
_symmetry_Int_Tables_number 10
_symmetry_space_group_name_Hall '-P 2y'
loop_
_atom_site_label
_atom_site_type_symbol
_atom_site_fract_x
_atom_site_fract_y
_atom_site_fract_z
Al1 Al 0.137 0.000 0.257
Ni1 Ni 0.000 0.500 0.500
W1 W 0.500 0.500 0.000


[8]
# AlNiW2 GGA-PBEsol optimized geometry
# Volume   110.75 Å³/cell
# Total energy   -9.41 eV per atom
data_AlNiW2
_chemical_formula_sum 'Al2 Ni2 W4'
_cell_length_a 9.506
_cell_length_b 2.664
_cell_length_c 4.623
_cell_angle_alpha 90.00
_cell_angle_beta 108.91
_cell_angle_gamma 90.00
_symmetry_space_group_name_H-M 'C 1 m 1'
_symmetry_Int_Tables_number 8
_symmetry_space_group_name_Hall 'C -2y'
loop_
_atom_site_label
_atom_site_type_symbol
_atom_site_fract_x
_atom_site_fract_y
_atom_site_fract_z
Al1 Al 0.000 0.000 0.000
Ni1 Ni 0.293 0.000 0.699
W1 W 0.048 0.500 0.533
W2 W 0.261 0.500 0.192


[9]
# AlNiW2 GGA-PBEsol optimized geometry
# Volume   111.93 Å³/cell
# Total energy   -9.45 eV per atom
data_AlNiW2
_chemical_formula_sum 'Al2 Ni2 W4'
_cell_length_a 3.233
_cell_length_b 4.318
_cell_length_c 8.019
_cell_angle_alpha 90.00
_cell_angle_beta 90.00
_cell_angle_gamma 90.00
_symmetry_space_group_name_H-M 'I m m 2'
_symmetry_Int_Tables_number 44
_symmetry_space_group_name_Hall 'I 2 -2'
loop_
_atom_site_label
_atom_site_type_symbol
_atom_site_fract_x
_atom_site_fract_y
_atom_site_fract_z
Al1 Al 0.000 0.000 0.000
Ni1 Ni 0.000 0.500 0.723
W1 W 0.000 0.000 0.473
W2 W 0.000 0.500 0.229


[10]
# AlZnNi2W GGA-PBEsol optimized geometry
# Volume   79.03 Å³/cell
# Total energy   -5.14 eV per atom
data_AlZnNi2W
_chemical_formula_sum 'Al1 Zn1 Ni2 W1'
_cell_length_a 4.138
_cell_length_b 4.138
_cell_length_c 4.616
_cell_angle_alpha 90.00
_cell_angle_beta 90.00
_cell_angle_gamma 90.00
_symmetry_space_group_name_H-M 'P 4/m m m'
_symmetry_Int_Tables_number 123
_symmetry_space_group_name_Hall '-P 4 2'
loop_
_atom_site_label
_atom_site_type_symbol
_atom_site_fract_x
_atom_site_fract_y
_atom_site_fract_z
Al1 Al 0.000 0.000 0.000
Zn1 Zn 0.500 0.500 0.500
Ni1 Ni 0.000 0.500 0.000
W1 W 0.000 0.000 0.500


[11]
# Y2AlNi2 GGA-PBEsol optimized geometry
# Volume   182.86 Å³/cell
# Total energy   -6.50 eV per atom
data_Y2AlNi2
_chemical_formula_sum 'Y4 Al2 Ni4'
_cell_length_a 7.003
_cell_length_b 7.003
_cell_length_c 3.729
_cell_angle_alpha 90.00
_cell_angle_beta 90.00
_cell_angle_gamma 90.00
_symmetry_space_group_name_H-M 'P 4/m b m'
_symmetry_Int_Tables_number 127
_symmetry_space_group_name_Hall '-P 4 2ab'
loop_
_atom_site_label
_atom_site_type_symbol
_atom_site_fract_x
_atom_site_fract_y
_atom_site_fract_z
Y1 Y 0.179 0.321 0.000
Al1 Al 0.000 0.000 0.500
Ni1 Ni 0.123 0.623 0.500


[12]
# Y2AlNi2 GGA-PBEsol optimized geometry
# Volume   181.15 Å³/cell
# Total energy   -6.55 eV per atom
data_Y2AlNi2
_chemical_formula_sum 'Y4 Al2 Ni4'
_cell_length_a 4.152
_cell_length_b 5.313
_cell_length_c 8.211
_cell_angle_alpha 90.00
_cell_angle_beta 90.00
_cell_angle_gamma 90.00
_symmetry_space_group_name_H-M 'I m m m'
_symmetry_Int_Tables_number 71
_symmetry_space_group_name_Hall '-I 2 2'
loop_
_atom_site_label
_atom_site_type_symbol
_atom_site_fract_x
_atom_site_fract_y
_atom_site_fract_z
Y1 Y 0.000 0.000 0.203
Al1 Al 0.000 0.500 0.000
Ni1 Ni 0.000 0.266 0.500


[13]
# Y3Al19Ni5 GGA-PBEsol optimized geometry
# Volume   1716.94 Å³/cell
# Total energy   -5.30 eV per atom
data_Y3Al19Ni5
_chemical_formula_sum 'Y12 Al76 Ni20'
_cell_length_a 4.043
_cell_length_b 15.825
_cell_length_c 26.832
_cell_angle_alpha 90.00
_cell_angle_beta 90.00
_cell_angle_gamma 90.00
_symmetry_space_group_name_H-M 'C m c m'
_symmetry_Int_Tables_number 63
_symmetry_space_group_name_Hall '-C 2c 2'
loop_
_atom_site_label
_atom_site_type_symbol
_atom_site_fract_x
_atom_site_fract_y
_atom_site_fract_z
Y1 Y 0.000 0.111 0.250
Y2 Y 0.000 0.333 0.135
Al1 Al 0.000 0.037 0.601
Al2 Al 0.000 0.080 0.702
Al3 Al 0.000 0.094 0.037
Al4 Al 0.000 0.130 0.135
Al5 Al 0.000 0.265 0.029
Al6 Al 0.000 0.277 0.694
Al7 Al 0.000 0.291 0.588
Al8 Al 0.000 0.305 0.250
Al9 Al 0.000 0.433 0.032
Al10 Al 0.000 0.465 0.675
Ni1 Ni 0.000 0.159 0.542
Ni2 Ni 0.000 0.446 0.585
Ni3 Ni 0.000 0.454 0.250


[14]
# YAl3Ni2 GGA-PBEsol optimized geometry
# Volume   278.55 Å³/cell
# Total energy   -5.90 eV per atom
data_YAl3Ni2
_chemical_formula_sum 'Y3 Al9 Ni6'
_cell_length_a 8.9312
_cell_length_b 8.9312
_cell_length_c 4.0323
_cell_angle_alpha 90.00
_cell_angle_beta 90.00
_cell_angle_gamma 120.00
_symmetry_space_group_name_H-M 'P 6/m m m'
_symmetry_Int_Tables_number 191
_symmetry_space_group_name_Hall '-P 6 2'
loop_
_atom_site_label
_atom_site_type_symbol
_atom_site_fract_x
_atom_site_fract_y
_atom_site_fract_z
Y1 Y 0.0000 0.0000 0.0000
Y2 Y 0.3333 0.6667 0.5000
Al1 Al 0.0000 0.2967 0.5000
Al2 Al 0.0000 0.5000 0.0000
Ni1 Ni 0.1813 0.3626 0.0000


[15]
# AlZnNi2 GGA-PBEsol optimized geometry
# Volume   93.84 Å³/cell
# Total energy   -4.89 eV per atom
data_AlZnNi2
_chemical_formula_sum 'Al2 Zn2 Ni4'
_cell_length_a 8.887
_cell_length_b 2.699
_cell_length_c 4.149
_cell_angle_alpha 90.00
_cell_angle_beta 109.47
_cell_angle_gamma 90.00
_symmetry_space_group_name_H-M 'C 1 m 1'
_symmetry_Int_Tables_number 8
_symmetry_space_group_name_Hall 'C -2y'
loop_
_atom_site_label
_atom_site_type_symbol
_atom_site_fract_x
_atom_site_fract_y
_atom_site_fract_z
Al1 Al 0.000 0.000 0.000
Zn1 Zn 0.262 0.500 0.376
Ni1 Ni 0.007 0.500 0.503
Ni2 Ni 0.258 0.000 0.872


[16]
# AlZn3Ni GGA-PBEsol optimized geometry
# Volume   88.80 Å³/cell
# Total energy   -2.65 eV per atom
data_AlZn3Ni
_chemical_formula_sum 'Al1 Zn3 Ni1'
_cell_length_a 4.461
_cell_length_b 4.461
_cell_length_c 4.461
_cell_angle_alpha 90.00
_cell_angle_beta 90.00
_cell_angle_gamma 90.00
_symmetry_space_group_name_H-M 'P m -3 m'
_symmetry_Int_Tables_number 221
_symmetry_space_group_name_Hall '-P 4 2 3'
loop_
_atom_site_label
_atom_site_type_symbol
_atom_site_fract_x
_atom_site_fract_y
_atom_site_fract_z
Al1 Al 0.000 0.000 0.000
Zn1 Zn 0.000 0.500 0.500
Ni1 Ni 0.500 0.500 0.500


[17]
# AlZnNi2 GGA-PBEsol optimized geometry
# Volume   143.10 Å³/cell
# Total energy   -4.78 eV per atom
data_AlZnNi2
_chemical_formula_sum 'Al3 Zn3 Ni6'
_cell_length_a 2.6605
_cell_length_b 2.6605
_cell_length_c 23.3442
_cell_angle_alpha 90.00
_cell_angle_beta 90.00
_cell_angle_gamma 120.00
_symmetry_space_group_name_H-M 'R -3 m'
_symmetry_Int_Tables_number 166
_symmetry_space_group_name_Hall '-R 3 2"'
loop_
_atom_site_label
_atom_site_type_symbol
_atom_site_fract_x
_atom_site_fract_y
_atom_site_fract_z
Al1 Al 0.0000 0.0000 0.0000
Zn1 Zn 0.0000 0.0000 0.5000
Ni1 Ni 0.0000 0.0000 0.2519


[18]
# AlZnNi2 GGA-PBEsol optimized geometry
# Volume   93.39 Å³/cell
# Total energy   -4.88 eV per atom
data_AlZnNi2
_chemical_formula_sum 'Al2 Zn2 Ni4'
_cell_length_a 3.477
_cell_length_b 3.477
_cell_length_c 7.723
_cell_angle_alpha 90.00
_cell_angle_beta 90.00
_cell_angle_gamma 90.00
_symmetry_space_group_name_H-M 'I -4 m 2'
_symmetry_Int_Tables_number 119
_symmetry_space_group_name_Hall 'I -4 -2'
loop_
_atom_site_label
_atom_site_type_symbol
_atom_site_fract_x
_atom_site_fract_y
_atom_site_fract_z
Al1 Al 0.000 0.000 0.000
Zn1 Zn 0.000 0.500 0.750
Ni1 Ni 0.000 0.000 0.500
Ni2 Ni 0.000 0.500 0.250


[19]
# AlZnNi2 GGA-PBEsol optimized geometry
# Volume   146.17 Å³/cell
# Total energy   -4.58 eV per atom
data_AlZnNi2
_chemical_formula_sum 'Al3 Zn3 Ni6'
_cell_length_a 2.6394
_cell_length_b 2.6394
_cell_length_c 24.2280
_cell_angle_alpha 90.00
_cell_angle_beta 90.00
_cell_angle_gamma 120.00
_symmetry_space_group_name_H-M 'R 3 m'
_symmetry_Int_Tables_number 160
_symmetry_space_group_name_Hall 'R 3 -2"'
loop_
_atom_site_label
_atom_site_type_symbol
_atom_site_fract_x
_atom_site_fract_y
_atom_site_fract_z
Al1 Al 0.0000 0.0000 0.0000
Zn1 Zn 0.0000 0.0000 0.2382
Ni1 Ni 0.0000 0.0000 0.4911
Ni2 Ni 0.0000 0.0000 0.7442


[20]
# Zr2AlNi GGA-PBEsol optimized geometry
# Volume   138.36 Å³/cell
# Total energy   -7.38 eV per atom
data_Zr2AlNi
_chemical_formula_sum 'Zr4 Al2 Ni2'
_cell_length_a 3.890
_cell_length_b 3.890
_cell_length_c 9.143
_cell_angle_alpha 90.00
_cell_angle_beta 90.00
_cell_angle_gamma 90.00
_symmetry_space_group_name_H-M 'I -4 m 2'
_symmetry_Int_Tables_number 119
_symmetry_space_group_name_Hall 'I -4 -2'
loop_
_atom_site_label
_atom_site_type_symbol
_atom_site_fract_x
_atom_site_fract_y
_atom_site_fract_z
Zr1 Zr 0.000 0.000 0.000
Zr2 Zr 0.000 0.500 0.250
Al1 Al 0.000 0.000 0.500
Ni1 Ni 0.000 0.500 0.750